No. 1
A geometry-optimized TaHgN3 structure. Source: Alexandria via LeMat-Bulk, functional PBE-GGA.

Output
DOS(E_F): 0.42 states/eV/atom
ΔE_f (raw): 2429 meV/atom
E_tot: -24.99 eV per cell
space group: Pm-3m (221)

Cell: 4.019 4.019 4.019 Å, 90.00 90.00 90.00°
Fractional coordinates of all 5 atoms:
Ta 0.000 0.000 0.000
Hg 0.500 0.500 0.500
N 0.000 0.500 0.500
N 0.500 0.000 0.500
N 0.500 0.500 0.000

---

No. 2
A geometry-optimized TaHgN2 structure. Source: Alexandria via LeMat-Bulk, functional PBE-GGA.

Output
DOS(E_F): 1.27 states/eV/atom
ΔE_f (raw): 1140 meV/atom
E_tot: -24.25 eV per cell
space group: Fm-3m (225)
energy relative to the lowest polymorph listed for this composition: 1.4831 eV per atom

Cell: 4.076 4.076 4.076 Å, 60.00 60.00 60.00°
Fractional coordinates of all 4 atoms:
Ta 0.000 0.000 0.000
Hg 0.500 0.500 0.500
N 0.250 0.250 0.250
N 0.750 0.750 0.750

---

No. 3
A geometry-optimized TaHgN3 structure. Source: Alexandria via LeMat-Bulk, functional PBE-GGA.

Output
DOS(E_F): 0.52 states/eV/atom
ΔE_f (raw): 632 meV/atom
E_tot: -33.97 eV per cell
space group: Pm-3m (221)

Cell: 4.109 4.109 4.109 Å, 90.00 90.00 90.00°
Fractional coordinates of all 5 atoms:
Ta 0.000 0.000 0.000
Hg 0.500 0.500 0.500
N 0.000 0.000 0.500
N 0.000 0.500 0.000
N 0.500 0.000 0.000

---

> Which of these has the highest E_tot?

TaHgN2

---

> Look up the E_tot of the first one.

-24.99 eV per cell

---

What did the third record say?
A geometry-optimized TaHgN3 structure. Source: Alexandria via LeMat-Bulk, functional PBE-GGA.

Output
DOS(E_F): 0.52 states/eV/atom
ΔE_f (raw): 632 meV/atom
E_tot: -33.97 eV per cell
space group: Pm-3m (221)

Cell: 4.109 4.109 4.109 Å, 90.00 90.00 90.00°
Fractional coordinates of all 5 atoms:
Ta 0.000 0.000 0.000
Hg 0.500 0.500 0.500
N 0.000 0.000 0.500
N 0.000 0.500 0.000
N 0.500 0.000 0.000